Compound: In2Hg
Source: Alexandria
Functional: PBE
Structure: optimized geometry

Cell lengths 11.788, 3.488, 8.098 Å; angles 90.00, 107.98, 90.00 degrees
Space group C2/m (No. 12)
Unique sites:
In 0.143 0.000 0.036 (multiplicity 4)
In 0.180 0.000 0.624 (multiplicity 4)
Hg 0.028 0.500 0.290 (multiplicity 4)

Values from the calculation:
Energy of formation from the pure elements ... 0.01 eV/atom

***

Compound: Li2SmInBr6
Source: Alexandria
Functional: PBE
Structure: optimized geometry

Cell lengths 7.3343, 7.3343, 19.9520 Å; angles 90.00, 90.00, 120.00 degrees
Space group R3 (No. 146, hexagonal axes)
Unique sites:
Li 0.0000 0.0000 0.0000 (multiplicity 3)
Li 0.0000 0.0000 0.4935 (multiplicity 3)
Sm 0.0000 0.0000 0.6883 (multiplicity 3)
In 0.0000 0.0000 0.2066 (multiplicity 3)
Br 0.0074 0.5886 0.2591 (multiplicity 9)
Br 0.0164 0.3347 0.0875 (multiplicity 9)

Values from the calculation:
Energy relative to the elements, uncorrected ... -1.4665 eV/atom

***

Compound: PuSnGe
Source: Alexandria
Functional: PBE
Structure: optimized geometry

Cell lengths 4.463, 15.585, 4.076 Å; angles 90.00, 90.00, 90.00 degrees
Space group Cmcm (No. 63)
Unique sites:
Pu 0.000 0.086 0.250 (multiplicity 4)
Sn 0.000 0.259 0.750 (multiplicity 4)
Ge 0.000 0.441 0.250 (multiplicity 4)

Values from the calculation:
Energy of formation from the pure elements ... -0.35 eV/atom

***

Compound: LiPm3P
Source: Alexandria
Functional: PBE
Structure: optimized geometry

Cell lengths 5.523, 5.523, 5.523 Å; angles 90.00, 90.00, 90.00 degrees
Space group Pm-3m (No. 221)
Unique sites:
Li 0.000 0.000 0.000 (multiplicity 1)
Pm 0.000 0.500 0.500 (multiplicity 3)
P 0.500 0.500 0.500 (multiplicity 1)

Values from the calculation:
Energy of formation from the pure elements ... -0.34 eV/atom